Entry 1:
{"formula": "SmDy4Sn2", "functional": "PBE-GGA", "state": "relaxed", "cell": [[-2.0186, 1.7206, 4.6314], [3.9023, -2.5132, 2.6345], [3.6804, 7.0817, -4.1020]], "species": ["Dy", "Dy", "Dy", "Dy", "Sn", "Sn", "Sm"], "fractional_positions": [[0.0000, 0.5000, 0.0000], [0.8156, 0.8156, 0.6311], [0.1844, 0.1844, 0.3689], [0.5000, 0.0000, 0.0000], [0.3709, 0.3709, 0.7418], [0.6291, 0.6291, 0.2582], [0.0000, 0.0000, 0.0000]], "spacegroup": "No. 139", "e_form_kcal_per_mol_atoms": 8.98, "dos_at_fermi_per_ev_fu": 9.5}

---

Entry 2:
{"formula": "CaAgPd2", "functional": "PBE-GGA", "state": "relaxed", "cell": [[-1.7844, -1.4911, -3.4504], [-3.1701, -1.4554, 2.2683], [-7.0790, 6.7321, -1.7573]], "species": ["Pd", "Pd", "Pd", "Pd", "Ag", "Ag", "Ca", "Ca"], "fractional_positions": [[0.3750, 0.3531, 0.7500], [0.8750, 0.8969, 0.7500], [0.6469, 0.1250, 0.2500], [0.1031, 0.6250, 0.2500], [0.7500, 0.2500, 0.5000], [0.0000, 0.0000, 0.0000], [0.5000, 0.5000, 0.0000], [0.2500, 0.7500, 0.5000]], "e_above_lowest_polymorph_ev_per_atom": 0.332, "spacegroup": "No. 122", "e_form_kcal_per_mol_atoms": -3.41, "dos_at_fermi_per_ev_fu": 1.7}

---

Entry 3:
{"formula": "Tm2Al6Pd", "functional": "PBE-GGA", "state": "relaxed", "cell": [[5.8890, -0.0284, -0.0164], [0.0268, 5.7606, 0.0060], [0.0268, 2.8752, 4.9917]], "species": ["Al", "Al", "Al", "Al", "Al", "Al", "Tm", "Tm", "Pd"], "fractional_positions": [[0.6792, 0.1737, 0.6526], [0.3207, 0.8263, 0.8263], [0.3208, 0.3474, 0.8263], [0.6793, 0.1737, 0.1737], [0.6792, 0.6526, 0.1737], [0.3208, 0.8263, 0.3474], [0.8670, 0.6667, 0.6667], [0.1330, 0.3333, 0.3333], [0.0000, 0.0000, 0.0000]], "spacegroup": "No. 164", "e_form_kcal_per_mol_atoms": -12.16, "dos_at_fermi_per_ev_fu": 5.4}

---

Entry 4:
{"formula": "RbNd3F10", "functional": "PBE-GGA", "state": "relaxed", "cell": [[7.4581, 0.0000, 4.3059], [2.4860, 7.0316, 4.3059], [0.0000, 0.0000, 8.6119]], "species": ["F", "F", "F", "F", "F", "F", "F", "F", "F", "F", "F", "F", "F", "F", "F", "F", "F", "F", "F", "F", "Rb", "Rb", "Nd", "Nd", "Nd", "Nd", "Nd", "Nd"], "fractional_positions": [[0.3296, 0.6704, 0.0000], [0.1675, 0.6108, 0.6108], [0.0000, 0.6704, 0.3296], [0.3296, 0.0000, 0.6704], [0.6108, 0.6108, 0.6108], [0.3892, 0.3892, 0.3892], [0.6704, 0.0000, 0.3296], [0.3892, 0.8325, 0.3892], [0.3892, 0.3892, 0.8325], [0.6108, 0.1675, 0.6108], [0.3296, 0.0000, 0.0000], [0.8325, 0.3892, 0.3892], [0.6704, 0.0000, 0.0000], [0.0000, 0.6704, 0.0000], [0.0000, 0.0000, 0.6704], [0.0000, 0.3296, 0.6704], [0.0000, 0.0000, 0.3296], [0.6704, 0.3296, 0.0000], [0.6108, 0.6108, 0.1675], [0.0000, 0.3296, 0.0000], [0.2500, 0.2500, 0.2500], [0.7500, 0.7500, 0.7500], [0.2600, 0.7400, 0.7400], [0.2600, 0.7400, 0.2600], [0.7400, 0.2600, 0.2600], [0.2600, 0.2600, 0.7400], [0.7400, 0.2600, 0.7400], [0.7400, 0.7400, 0.2600]], "spacegroup": "No. 225", "dos_at_fermi_per_ev_fu": 0.0}

---

Results for total energy: -4.058 -3.958 -4.593 -6.366 (in eV per atom, following the order of the records).
Results for total magnetic moment: 0.0 0.0 0.0 0.4 (in Bohr magnetons per cell, following the order of the records).
Results for calculated density: 7431 7301 5948 5208 (in kg/m3, following the order of the records).